Record 1
# CaOsPb2 PBE-GGA optimized geometry
data_CaOsPb2
_chemical_formula_sum 'Ca2 Os2 Pb4'
_symmetry_space_group_name_H-M 'C 1 2/m 1'
_symmetry_Int_Tables_number 12
_cell_length_a 6.479
_cell_length_b 6.474
_cell_length_c 4.427
_cell_angle_alpha 90.00
_cell_angle_beta 90.23
_cell_angle_gamma 90.00
loop_
_symmetry_equiv_pos_as_xyz
'x,y,z'
'-x,-y,-z'
'-x,y,-z'
'x,-y,z'
'x+1/2,y+1/2,z'
'-x+1/2,-y+1/2,-z'
'-x+1/2,y+1/2,-z'
'x+1/2,-y+1/2,z'
loop_
_atom_site_label
_atom_site_fract_x
_atom_site_fract_y
_atom_site_fract_z
_atom_site_occupancy
Ca1 0.000 0.000 0.000 1
Os1 0.000 0.500 0.000 1
Pb1 0.250 0.250 0.500 1
# Calculated density ... 11.531 g/cm³

Record 2
# CaOs2Pb PBE-GGA optimized geometry
data_CaOs2Pb
_chemical_formula_sum 'Ca1 Os2 Pb1'
_symmetry_space_group_name_H-M 'P 4 m m'
_symmetry_Int_Tables_number 99
_cell_length_a 3.060
_cell_length_b 3.060
_cell_length_c 8.586
_cell_angle_alpha 90.00
_cell_angle_beta 90.00
_cell_angle_gamma 90.00
loop_
_symmetry_equiv_pos_as_xyz
'x,y,z'
'-y,x,z'
'-x,-y,z'
'y,-x,z'
'-x,y,z'
'y,x,z'
'x,-y,z'
'-y,-x,z'
loop_
_atom_site_label
_atom_site_fract_x
_atom_site_fract_y
_atom_site_fract_z
_atom_site_occupancy
Ca1 0.000 0.000 0.000 1
Os1 0.000 0.000 0.426 1
Os2 0.500 0.500 0.251 1
Pb1 0.500 0.500 0.669 1
# Calculated density ... 12.968 g/cm³

Record 3
# CaOs2Pb PBE-GGA optimized geometry
data_CaOs2Pb
_chemical_formula_sum 'Ca2 Os4 Pb2'
_symmetry_space_group_name_H-M 'C 1 2/m 1'
_symmetry_Int_Tables_number 12
_cell_length_a 9.818
_cell_length_b 3.194
_cell_length_c 5.358
_cell_angle_alpha 90.00
_cell_angle_beta 104.79
_cell_angle_gamma 90.00
loop_
_symmetry_equiv_pos_as_xyz
'x,y,z'
'-x,-y,-z'
'-x,y,-z'
'x,-y,z'
'x+1/2,y+1/2,z'
'-x+1/2,-y+1/2,-z'
'-x+1/2,y+1/2,-z'
'x+1/2,-y+1/2,z'
loop_
_atom_site_label
_atom_site_fract_x
_atom_site_fract_y
_atom_site_fract_z
_atom_site_occupancy
Ca1 0.000 0.000 0.000 1
Os1 0.239 0.000 0.687 1
Pb1 0.000 0.500 0.500 1
# Calculated density ... 12.834 g/cm³

Record 4
# CaOsPb2 PBE-GGA optimized geometry
data_CaOsPb2
_chemical_formula_sum 'Ca2 Os2 Pb4'
_symmetry_space_group_name_H-M 'C 1 2/m 1'
_symmetry_Int_Tables_number 12
_cell_length_a 9.269
_cell_length_b 3.544
_cell_length_c 6.016
_cell_angle_alpha 90.00
_cell_angle_beta 102.84
_cell_angle_gamma 90.00
loop_
_symmetry_equiv_pos_as_xyz
'x,y,z'
'-x,-y,-z'
'-x,y,-z'
'x,-y,z'
'x+1/2,y+1/2,z'
'-x+1/2,-y+1/2,-z'
'-x+1/2,y+1/2,-z'
'x+1/2,-y+1/2,z'
loop_
_atom_site_label
_atom_site_fract_x
_atom_site_fract_y
_atom_site_fract_z
_atom_site_occupancy
Ca1 0.000 0.000 0.000 1
Os1 0.000 0.500 0.500 1
Pb1 0.233 0.000 0.708 1
# Calculated density ... 11.114 g/cm³

Record 5
# CaOs2Pb PBE-GGA optimized geometry
data_CaOs2Pb
_chemical_formula_sum 'Ca2 Os4 Pb2'
_symmetry_space_group_name_H-M 'I m m 2'
_symmetry_Int_Tables_number 44
_cell_length_a 3.022
_cell_length_b 4.897
_cell_length_c 10.953
_cell_angle_alpha 90.00
_cell_angle_beta 90.00
_cell_angle_gamma 90.00
loop_
_symmetry_equiv_pos_as_xyz
'x,y,z'
'-x,-y,z'
'-x,y,z'
'x,-y,z'
'x+1/2,y+1/2,z+1/2'
'-x+1/2,-y+1/2,z+1/2'
'-x+1/2,y+1/2,z+1/2'
'x+1/2,-y+1/2,z+1/2'
loop_
_atom_site_label
_atom_site_fract_x
_atom_site_fract_y
_atom_site_fract_z
_atom_site_occupancy
Ca1 0.000 0.000 0.000 1
Os1 0.000 0.000 0.482 1
Os2 0.000 0.500 0.793 1
Pb1 0.000 0.500 0.211 1
# Calculated density ... 12.861 g/cm³

Record 6
# Ca4OsPb PBE-GGA optimized geometry
data_Ca4OsPb
_chemical_formula_sum 'Ca16 Os4 Pb4'
_symmetry_space_group_name_H-M 'F -4 3 m'
_symmetry_Int_Tables_number 216
_symmetry_space_group_name_Hall 'F -4 2 3'
_cell_length_a 8.614
_cell_length_b 8.614
_cell_length_c 8.614
_cell_angle_alpha 90.00
_cell_angle_beta 90.00
_cell_angle_gamma 90.00
loop_
_atom_site_label
_atom_site_fract_x
_atom_site_fract_y
_atom_site_fract_z
_atom_site_occupancy
Ca1 0.124 0.124 0.124 1
Os1 0.250 0.250 0.750 1
Pb1 0.000 0.000 0.500 1
# Calculated density ... 5.795 g/cm³

Record 7
# CaOs2Pb PBE-GGA optimized geometry
data_CaOs2Pb
_chemical_formula_sum 'Ca2 Os4 Pb2'
_symmetry_space_group_name_H-M 'C 1 2/m 1'
_symmetry_Int_Tables_number 12
_cell_length_a 5.979
_cell_length_b 9.558
_cell_length_c 2.963
_cell_angle_alpha 90.00
_cell_angle_beta 117.25
_cell_angle_gamma 90.00
loop_
_symmetry_equiv_pos_as_xyz
'x,y,z'
'-x,-y,-z'
'-x,y,-z'
'x,-y,z'
'x+1/2,y+1/2,z'
'-x+1/2,-y+1/2,-z'
'-x+1/2,y+1/2,-z'
'x+1/2,-y+1/2,z'
loop_
_atom_site_label
_atom_site_fract_x
_atom_site_fract_y
_atom_site_fract_z
_atom_site_occupancy
Ca1 0.000 0.000 0.000 1
Os1 0.250 0.250 0.500 1
Pb1 0.000 0.500 0.000 1
# Calculated density ... 13.849 g/cm³

Record 8
# CaOs2Pb PBE-GGA optimized geometry
data_CaOs2Pb
_chemical_formula_sum 'Ca1 Os2 Pb1'
_symmetry_space_group_name_H-M 'P 4/m m m'
_symmetry_Int_Tables_number 123
_symmetry_space_group_name_Hall '-P 4 2'
_cell_length_a 3.440
_cell_length_b 3.440
_cell_length_c 6.652
_cell_angle_alpha 90.00
_cell_angle_beta 90.00
_cell_angle_gamma 90.00
loop_
_atom_site_label
_atom_site_fract_x
_atom_site_fract_y
_atom_site_fract_z
_atom_site_occupancy
Ca1 0.000 0.000 0.000 1
Os1 0.500 0.500 0.281 1
Pb1 0.000 0.000 0.500 1
# Calculated density ... 13.245 g/cm³

no.,E_tot (eV/atom),formation energy (eV per atom)
1,-4.688,0.474
2,-6.725,0.318
3,-6.250,0.792
4,-4.875,0.287
5,-6.438,0.605
6,-3.024,0.800
7,-6.188,0.854
8,-6.113,0.930